Entry w
Material: AcPdAu
Method: DFT, PBE-GGA
State: optimized geometry

```
data_AcPdAu
_chemical_formula_sum 'Ac1 Pd1 Au1'
_symmetry_space_group_name_H-M 'P 1'
_symmetry_Int_Tables_number 1
_symmetry_space_group_name_Hall 'P 1'
_cell_length_a 4.7472
_cell_length_b 4.7472
_cell_length_c 3.9279
_cell_angle_alpha 90.00
_cell_angle_beta 90.00
_cell_angle_gamma 120.00
loop_
_atom_site_label
_atom_site_fract_x
_atom_site_fract_y
_atom_site_fract_z
Ac1 0.0000 0.0000 0.0000
Pd1 0.3333 0.6667 0.5000
Au1 0.6667 0.3333 0.5000
```

Properties
Symmetry: P-6m2
Density of states at the Fermi level in states/eV/atom: 0.41



Entry x
Material: AcPdAu
Method: DFT, PBE-GGA
State: optimized geometry

```
data_AcPdAu
_chemical_formula_sum 'Ac2 Pd2 Au2'
_symmetry_space_group_name_H-M 'P 1'
_symmetry_Int_Tables_number 1
_symmetry_space_group_name_Hall 'P 1'
_cell_length_a 9.0986
_cell_length_b 9.0986
_cell_length_c 4.2604
_cell_angle_alpha 95.87
_cell_angle_beta 95.87
_cell_angle_gamma 26.28
loop_
_atom_site_label
_atom_site_fract_x
_atom_site_fract_y
_atom_site_fract_z
Ac1 0.1142 0.1142 0.3054
Ac2 0.8858 0.8858 0.6946
Pd1 0.4528 0.4528 0.2290
Pd2 0.5472 0.5472 0.7710
Au1 0.2968 0.2968 0.1481
Au2 0.7032 0.7032 0.8519
```

Properties
Symmetry: C2/m
Density of states at the Fermi level in states/eV/atom: 0.48



Which one sits at the bottom of the stability order? entry x does.